Record 1
Compound: TcNiBiAu
Source: OQMD via LeMat-Bulk
Functional: GGA-PBE
Structure: relaxed

Results
**Spin magnetization**: 0.011 μB per cell
**Raw total energy**: -21.6 eV per cell
**Calculated volume**: 17.1 Å³ per atom

a = 4.5877 Å, b = 4.5877 Å, c = 4.5877 Å
α = 60.00°, β = 60.00°, γ = 60.00°
With the nearest neighbours (Å) after each atom.
Element x y z (fractional)
Tc (0.0000, 0.0000, 0.0000)  4 Bi 2.81, 4 Au 2.81
Ni (0.5000, 0.5000, 0.5000)  4 Bi 2.81, 4 Au 2.81
Bi (0.2500, 0.2500, 0.2500)  4 Tc 2.81, 4 Ni 2.81
Au (0.7500, 0.7500, 0.7500)  4 Tc 2.81, 4 Ni 2.81


Record 2
Compound: ZnNiBiAu
Source: OQMD via LeMat-Bulk
Functional: GGA-PBE
Structure: relaxed

Results
**Spin magnetization**: 0.002 μB per cell
**Energy above the most stable polymorph in this dataset**: 0.0000 eV/atom
**Calculated volume**: 18.1 Å³ per atom

a = 4.6817 Å, b = 4.6817 Å, c = 4.6817 Å
α = 60.00°, β = 60.00°, γ = 60.00°
With the nearest neighbours (Å) after each atom.
Element x y z (fractional)
Zn (0.0000, 0.0000, 0.0000)  4 Au 2.87, 4 Bi 2.87
Ni (0.5000, 0.5000, 0.5000)  4 Bi 2.87, 4 Au 2.87
Bi (0.7500, 0.7500, 0.7500)  4 Ni 2.87, 4 Zn 2.87
Au (0.2500, 0.2500, 0.2500)  4 Ni 2.87, 4 Zn 2.87


Record 3
Compound: ZnNiBiAu
Source: OQMD via LeMat-Bulk
Functional: GGA-PBE
Structure: relaxed

Results
**Spin magnetization**: 0.001 μB per cell
**Energy above the most stable polymorph in this dataset**: 0.0223 eV/atom
**Calculated volume**: 18.6 Å³ per atom

a = 4.7176 Å, b = 4.7176 Å, c = 4.7176 Å
α = 60.00°, β = 60.00°, γ = 60.00°
With the nearest neighbours (Å) after each atom.
Element x y z (fractional)
Zn (0.0000, 0.0000, 0.0000)  4 Ni 2.89, 4 Au 2.89
Ni (0.7500, 0.7500, 0.7500)  4 Bi 2.89, 4 Zn 2.89
Bi (0.5000, 0.5000, 0.5000)  4 Ni 2.89, 4 Au 2.89
Au (0.2500, 0.2500, 0.2500)  4 Bi 2.89, 4 Zn 2.89


Record 4
Compound: Bi2Au2O5
Source: OQMD via LeMat-Bulk
Functional: GGA-PBE
Structure: relaxed

Results
**Energy above the most stable polymorph in this dataset**: 0.0560 eV/atom
**Calculated volume**: 14.1 Å³ per atom

a = 4.2508 Å, b = 4.2508 Å, c = 7.0273 Å
α = 90.00°, β = 90.00°, γ = 90.00°
With the nearest neighbours (Å) after each atom.
Element x y z (fractional)
Bi (0.0000, 0.0000, 0.0000)  8 O 2.64
Bi (0.0000, 0.0000, 0.5000)  12 O 2.88-3.01
Au (0.5000, 0.5000, 0.1944)  5 O 2.13-2.15
Au (0.5000, 0.5000, 0.8056)  5 O 2.13-2.15
O (0.0000, 0.5000, 0.2225)  2 Au 2.13
O (0.0000, 0.5000, 0.7775)  2 Au 2.13
O (0.5000, 0.0000, 0.2225)  2 Au 2.13
O (0.5000, 0.0000, 0.7775)  2 Au 2.13
O (0.5000, 0.5000, 0.5000)  2 Au 2.15


Record 5
Compound: BiAuO2
Source: OQMD via LeMat-Bulk
Functional: GGA-PBE
Structure: relaxed

Results
**Raw total energy**: -40.5 eV per cell
**Calculated volume**: 17.7 Å³ per atom

a = 6.5140 Å, b = 3.6476 Å, c = 6.6335 Å
α = 90.00°, β = 116.07°, γ = 90.00°
With the nearest neighbours (Å) after each atom.
Element x y z (fractional)
Bi (0.0703, 0.2500, 0.2699)  5 O 2.23-2.46
Bi (0.9297, 0.7500, 0.7301)  5 O 2.23-2.46
Au (0.4722, 0.2500, 0.8069)  2 O 2.04-2.05
Au (0.5278, 0.7500, 0.1931)  2 O 2.04-2.05
O (0.1243, 0.2500, 0.6889)  1 Au 2.05
O (0.1832, 0.7500, 0.0913)  1 Au 2.04, 1 Bi 2.23
O (0.8168, 0.2500, 0.9087)  1 Au 2.04, 1 Bi 2.23
O (0.8757, 0.7500, 0.3111)  1 Au 2.05


Record 6
Compound: Bi2Au2O5
Source: OQMD via LeMat-Bulk
Functional: GGA-PBE
Structure: relaxed

Results
**Energy above the most stable polymorph in this dataset**: 0.0000 eV/atom
**Calculated volume**: 16.1 Å³ per atom

a = 3.9378 Å, b = 3.9378 Å, c = 9.3208 Å
α = 90.00°, β = 90.00°, γ = 90.00°
With the nearest neighbours (Å) after each atom.
Element x y z (fractional)
Bi (0.0000, 0.0000, 0.2434)  5 O 2.20-2.27
Bi (0.0000, 0.0000, 0.7566)  5 O 2.20-2.27
Au (0.5000, 0.5000, 0.0000)  4 O 2.78
Au (0.5000, 0.5000, 0.5000)  8 O 2.42
O (0.0000, 0.0000, 0.0000)  2 Bi 2.27
O (0.0000, 0.5000, 0.3497)  2 Bi 2.20, 2 Au 2.42
O (0.0000, 0.5000, 0.6503)  2 Bi 2.20, 2 Au 2.42
O (0.5000, 0.0000, 0.3497)  2 Bi 2.20, 2 Au 2.42
O (0.5000, 0.0000, 0.6503)  2 Bi 2.20, 2 Au 2.42


Record 7
Compound: BiPAuO
Source: OQMD via LeMat-Bulk
Functional: GGA-PBE
Structure: relaxed

Results
**Energy above the most stable polymorph in this dataset**: 0.0000 eV/atom
**Calculated volume**: 18.2 Å³ per atom

a = 4.0017 Å, b = 4.0017 Å, c = 9.0757 Å
α = 90.00°, β = 90.00°, γ = 90.00°
With the nearest neighbours (Å) after each atom.
Element x y z (fractional)
Bi (0.2500, 0.2500, 0.1382)  4 O 2.36
Bi (0.7500, 0.7500, 0.8618)  4 O 2.36
P (0.2500, 0.2500, 0.6811)  4 Au 2.59
P (0.7500, 0.7500, 0.3189)  4 Au 2.59
Au (0.2500, 0.7500, 0.5000)  4 P 2.59, 4 Au 2.83
Au (0.7500, 0.2500, 0.5000)  4 P 2.59, 4 Au 2.83
O (0.2500, 0.7500, 0.0000)  4 Bi 2.36
O (0.7500, 0.2500, 0.0000)  4 Bi 2.36


Record 8
Compound: BiPAuO
Source: OQMD via LeMat-Bulk
Functional: GGA-PBE
Structure: relaxed

Results
**Energy above the most stable polymorph in this dataset**: 0.1868 eV/atom
**Calculated volume**: 22.0 Å³ per atom

a = 4.1575 Å, b = 6.5852 Å, c = 6.4331 Å
α = 90.00°, β = 90.00°, γ = 90.00°
With the nearest neighbours (Å) after each atom.
Element x y z (fractional)
Bi (0.0000, 0.2220, 0.0000)  2 O 2.21
Bi (0.0000, 0.7780, 0.5000)  2 O 2.21
P (0.0000, 0.1827, 0.4192)  2 Au 2.34
P (0.0000, 0.8173, 0.9192)  2 Au 2.34
Au (0.5000, 0.2774, 0.5561)  2 P 2.34, 1 O 2.47
Au (0.5000, 0.7226, 0.0561)  2 P 2.34, 1 O 2.47
O (0.5000, 0.3191, 0.9380)  2 Bi 2.21, 1 Au 2.47
O (0.5000, 0.6809, 0.4380)  2 Bi 2.21, 1 Au 2.47


Record 9
Compound: BiPAuO
Source: OQMD via LeMat-Bulk
Functional: GGA-PBE
Structure: relaxed

Results
**Energy above the most stable polymorph in this dataset**: 0.7487 eV/atom
**Calculated volume**: 23.2 Å³ per atom

a = 4.6269 Å, b = 4.6269 Å, c = 8.6830 Å
α = 90.00°, β = 90.00°, γ = 90.00°
With the nearest neighbours (Å) after each atom.
Element x y z (fractional)
Bi (0.2500, 0.7500, 0.0000)  4 P 2.87
Bi (0.7500, 0.2500, 0.0000)  4 P 2.87
P (0.2500, 0.2500, 0.1955)  1 Au 2.38
P (0.7500, 0.7500, 0.8045)  1 Au 2.38
Au (0.2500, 0.2500, 0.4692)  4 O 2.33, 1 P 2.38
Au (0.7500, 0.7500, 0.5308)  4 O 2.33, 1 P 2.38
O (0.2500, 0.7500, 0.5000)  4 Au 2.33
O (0.7500, 0.2500, 0.5000)  4 Au 2.33


Record 10
Compound: BiPAuO
Source: OQMD via LeMat-Bulk
Functional: GGA-PBE
Structure: relaxed

Results
**Energy above the most stable polymorph in this dataset**: 0.2129 eV/atom
**Calculated volume**: 21.8 Å³ per atom

a = 3.9128 Å, b = 6.2814 Å, c = 7.1050 Å
α = 90.00°, β = 90.00°, γ = 90.00°
With the nearest neighbours (Å) after each atom.
Element x y z (fractional)
Bi (0.0000, 0.1186, 0.0000)  2 O 2.19-2.27
Bi (0.0000, 0.8814, 0.5000)  2 O 2.19-2.27
P (0.5000, 0.3430, 0.8330)  2 Au 2.30-2.38
P (0.5000, 0.6570, 0.3330)  2 Au 2.30-2.38
Au (0.5000, 0.3345, 0.5097)  2 P 2.30-2.38
Au (0.5000, 0.6655, 0.0097)  2 P 2.30-2.38
O (0.0000, 0.1620, 0.3178)  2 Bi 2.19-2.27
O (0.0000, 0.8380, 0.8178)  2 Bi 2.19-2.27


Record 11
Compound: BiAuSO
Source: OQMD via LeMat-Bulk
Functional: GGA-PBE
Structure: relaxed

Results
**Energy above the most stable polymorph in this dataset**: 0.3633 eV/atom
**Calculated volume**: 20.6 Å³ per atom

a = 3.9542 Å, b = 6.3004 Å, c = 6.6178 Å
α = 90.00°, β = 90.00°, γ = 90.00°
With the nearest neighbours (Å) after each atom.
Element x y z (fractional)
Bi (0.0000, 0.2267, 0.0000)  1 O 2.12
Bi (0.0000, 0.7733, 0.5000)  1 O 2.12
Au (0.5000, 0.2236, 0.5530)  1 S 2.37, 2 O 2.42
Au (0.5000, 0.7764, 0.0530)  1 S 2.37, 2 O 2.42
S (0.5000, 0.3988, 0.2360)  1 Au 2.37
S (0.5000, 0.6012, 0.7360)  1 Au 2.37
O (0.0000, 0.0488, 0.6831)  1 Bi 2.12
O (0.0000, 0.9512, 0.1831)  1 Bi 2.12


Record 12
Compound: BiAuSO
Source: OQMD via LeMat-Bulk
Functional: GGA-PBE
Structure: relaxed

Results
**Energy above the most stable polymorph in this dataset**: 0.0228 eV/atom
**Calculated volume**: 22.1 Å³ per atom

a = 5.7542 Å, b = 5.7272 Å, c = 10.8548 Å
α = 90.00°, β = 99.08°, γ = 90.00°
With the nearest neighbours (Å) after each atom.
Element x y z (fractional)
Bi (0.0163, 0.0000, 0.1196)  3 O 2.26-2.45
Bi (0.4670, 0.9906, 0.8895)  4 O 2.30-2.35
Bi (0.5330, 0.4906, 0.1105)  4 O 2.30-2.35
Bi (0.9837, 0.5000, 0.8804)  3 O 2.26-2.45
Au (0.1528, 0.3946, 0.4847)  2 S 2.32-2.33
Au (0.4378, 0.1508, 0.3101)  2 S 2.30-2.42
Au (0.5622, 0.6508, 0.6899)  2 S 2.30-2.42
Au (0.8472, 0.8946, 0.5153)  2 S 2.32-2.33
S (0.1155, 0.4266, 0.2687)  2 Au 2.33-2.42
S (0.2767, 0.3720, 0.6979)  2 Au 2.30-2.32
S (0.7233, 0.8720, 0.3021)  2 Au 2.30-2.32
S (0.8845, 0.9266, 0.7313)  2 Au 2.33-2.42
O (0.2529, 0.2377, 0.9991)  4 Bi 2.32-2.45
O (0.2574, 0.7272, 0.9952)  3 Bi 2.26-2.34
O (0.7426, 0.2272, 0.0048)  3 Bi 2.26-2.34
O (0.7471, 0.7377, 0.0009)  4 Bi 2.32-2.45